P.
Na3SbPb | GGA-PBE | relaxed

Computed properties:
crystal system	cubic

Cell: 5.783 5.783 5.783 Å, 90.00 90.00 90.00°
Space group Pm-3m (No. 221)
Inequivalent atoms, fractional coordinates:
Na  0.000  0.000  0.500
Sb  0.000  0.000  0.000
Pb  0.500  0.500  0.500

---

Q.
Na3SbPb | GGA-PBE | relaxed

Computed properties:
crystal system	orthorhombic

Cell: 10.678 9.771 6.421 Å, 90.00 90.00 90.00°
Space group Ima2 (No. 46)
Inequivalent atoms, fractional coordinates:
Na  0.026  0.249  0.000
Na  0.250  0.034  0.749
Sb  0.250  0.101  0.250
Pb  0.250  0.701  0.752

---

R.
Na3SbPb | GGA-PBE | relaxed

Computed properties:
crystal system	cubic

Cell: 5.753 5.753 5.753 Å, 90.00 90.00 90.00°
Space group Pm-3m (No. 221)
Inequivalent atoms, fractional coordinates:
Na  0.000  0.000  0.500
Sb  0.500  0.500  0.500
Pb  0.000  0.000  0.000

---

Energies relative to the minimum, eV/atom: P 0.266; Q 0.000; R 0.520

---

P.
NaSbPb3 | GGA-PBE | relaxed

Computed properties:
crystal system	tetragonal

Cell: 5.927 5.927 22.863 Å, 90.00 90.00 90.00°
Space group I-4m2 (No. 119)
Inequivalent atoms, fractional coordinates:
Na  0.000  0.000  0.197
Sb  0.000  0.000  0.500
Sb  0.000  0.500  0.750
Pb  0.000  0.250  0.625
Pb  0.000  0.500  0.071

---

Q.
NaSbPb3 | GGA-PBE | relaxed

Computed properties:
crystal system	cubic

Cell: 5.523 5.523 5.523 Å, 90.00 90.00 90.00°
Space group Pm-3m (No. 221)
Inequivalent atoms, fractional coordinates:
Na  0.000  0.000  0.000
Sb  0.500  0.500  0.500
Pb  0.000  0.000  0.500

---

R.
NaSbPb3 | GGA-PBE | relaxed

Computed properties:
crystal system	monoclinic

Cell: 18.037 5.277 7.054 Å, 90.00 112.89 90.00°
Space group C2/m (No. 12)
Inequivalent atoms, fractional coordinates:
Na  0.014  0.000  0.257
Sb  0.098  0.500  0.097
Pb  0.103  0.500  0.642
Pb  0.192  0.000  0.059
Pb  0.212  0.000  0.597

---

Energies relative to the minimum, eV/atom: P 0.233; Q 0.598; R 0.000

---

P.
NaTl2SbPb | GGA-PBE | relaxed

Computed properties:
crystal system	orthorhombic

Cell: 3.416 20.857 8.897 Å, 90.00 90.00 90.00°
Space group Cmcm (No. 63)
Inequivalent atoms, fractional coordinates:
Na  0.000  0.235  0.250
Tl  0.000  0.149  0.561
Sb  0.000  0.402  0.750
Pb  0.000  0.000  0.000

---

Q.
NaTl2SbPb | GGA-PBE | relaxed

Computed properties:
crystal system	tetragonal

Cell: 5.885 5.885 5.597 Å, 90.00 90.00 90.00°
Space group P4/mmm (No. 123)
Inequivalent atoms, fractional coordinates:
Na  0.000  0.000  0.000
Tl  0.000  0.500  0.500
Sb  0.000  0.000  0.500
Pb  0.500  0.500  0.000

---

Energies relative to the minimum, eV/atom: P 0.000; Q 0.331

---

P.
NaScPb | GGA-PBE | relaxed

Computed properties:
crystal system	tetragonal

Cell: 3.343 3.343 14.886 Å, 90.00 90.00 90.00°
Space group I4mm (No. 107)
Inequivalent atoms, fractional coordinates:
Na  0.000  0.000  0.000
Sc  0.000  0.000  0.690
Pb  0.000  0.000  0.334

---

Q.
NaScPb | GGA-PBE | relaxed

Computed properties:
crystal system	cubic

Cell: 7.087 7.087 7.087 Å, 90.00 90.00 90.00°
Space group F-43m (No. 216)
Inequivalent atoms, fractional coordinates:
Na  0.000  0.000  0.000
Sc  0.000  0.000  0.500
Pb  0.250  0.250  0.750

---

Energies relative to the minimum, eV/atom: P 0.030; Q 0.000

---

P.
NaScPb | GGA-PBE | relaxed

Computed properties:
crystal system	orthorhombic

Cell: 4.955 13.275 5.187 Å, 90.00 90.00 90.00°
Space group Cmcm (No. 63)
Inequivalent atoms, fractional coordinates:
Na  0.000  0.066  0.250
Sc  0.000  0.249  0.750
Pb  0.000  0.369  0.250

---

Q.
NaScPb | GGA-PBE | relaxed

Computed properties:
crystal system	hexagonal

Cell: 5.5085 5.5085 11.2240 Å, 90.00 90.00 120.00°
Space group P6_3/mmc (No. 194)
Inequivalent atoms, fractional coordinates:
Na  0.3333  0.6667  0.2500
Sc  0.0000  0.0000  0.2500
Pb  0.0000  0.0000  0.0000

---

R.
NaScPb | GGA-PBE | relaxed

Computed properties:
crystal system	monoclinic

Cell: 3.372 4.440 10.777 Å, 90.00 90.06 90.00°
Space group Pm (No. 6)
Inequivalent atoms, fractional coordinates:
Na  0.000  0.000  0.000
Na  0.498  0.500  0.182
Sc  0.001  0.000  0.678
Sc  0.999  0.000  0.382
Pb  0.499  0.500  0.510
Pb  0.502  0.500  0.825

---

S.
NaScPb | GGA-PBE | relaxed

Computed properties:
crystal system	orthorhombic

Cell: 3.707 17.841 4.732 Å, 90.00 90.00 90.00°
Space group Imm2 (No. 44)
Inequivalent atoms, fractional coordinates:
Na  0.000  0.000  0.000
Na  0.000  0.500  0.000
Sc  0.000  0.189  0.501
Pb  0.000  0.356  0.501

---

Energies relative to the minimum, eV/atom: P 0.033; Q 1.145; R 0.067; S 0.000

---

P.
NaScPb | GGA-PBE | relaxed

Computed properties:
crystal system	orthorhombic

Cell: 3.589 4.746 9.079 Å, 90.00 90.00 90.00°
Space group Pmmn (No. 59, origin choice 2)
Inequivalent atoms, fractional coordinates:
Na  0.250  0.250  0.043
Sc  0.250  0.750  0.605
Pb  0.250  0.750  0.275

---

Q.
NaScPb | GGA-PBE | relaxed

Computed properties:
crystal system	orthorhombic

Cell: 6.881 4.765 9.402 Å, 90.00 90.00 90.00°
Space group Pnma (No. 62)
Inequivalent atoms, fractional coordinates:
Na  0.146  0.250  0.042
Sc  0.065  0.250  0.682
Pb  0.196  0.250  0.362

---

Energies relative to the minimum, eV/atom: P 0.000; Q 0.049

---

P.
NaScPb | GGA-PBE | relaxed

Computed properties:
crystal system	monoclinic

Cell: 4.558 4.111 8.584 Å, 90.00 105.32 90.00°
Space group P2/m (No. 10)
Inequivalent atoms, fractional coordinates:
Na  0.000  0.000  0.000
Na  0.500  0.500  0.000
Sc  0.178  0.500  0.354
Pb  0.337  0.000  0.676

---

Q.
NaScPb | GGA-PBE | relaxed

Computed properties:
crystal system	orthorhombic

Cell: 3.476 4.582 9.799 Å, 90.00 90.00 90.00°
Space group Pmmn (No. 59, origin choice 2)
Inequivalent atoms, fractional coordinates:
Na  0.250  0.250  0.085
Sc  0.250  0.250  0.415
Pb  0.250  0.250  0.729

---

Energies relative to the minimum, eV/atom: P 0.052; Q 0.000

---

P.
NaScPb | GGA-PBE | relaxed

Computed properties:
crystal system	tetragonal

Cell: 5.036 5.036 7.415 Å, 90.00 90.00 90.00°
Space group P4/nmm (No. 129, origin choice 2)
Inequivalent atoms, fractional coordinates:
Na  0.250  0.250  0.146
Sc  0.250  0.750  0.500
Pb  0.250  0.250  0.710

---

Q.
NaScPb | GGA-PBE | relaxed

Computed properties:
crystal system	monoclinic

Cell: 5.756 9.533 5.749 Å, 90.00 101.74 90.00°
Space group C2/m (No. 12)
Inequivalent atoms, fractional coordinates:
Na  0.000  0.162  0.000
Sc  0.000  0.345  0.500
Pb  0.000  0.000  0.500
Pb  0.000  0.500  0.000

---

R.
NaScPb | GGA-PBE | relaxed

Computed properties:
crystal system	orthorhombic

Cell: 6.163 6.731 8.140 Å, 90.00 90.00 90.00°
Space group Imma (No. 74)
Inequivalent atoms, fractional coordinates:
Na  0.000  0.250  0.135
Sc  0.250  0.250  0.750
Pb  0.000  0.000  0.500

---

S.
NaScPb | GGA-PBE | relaxed

Computed properties:
crystal system	orthorhombic

Cell: 5.044 8.725 6.756 Å, 90.00 90.00 90.00°
Space group Cmcm (No. 63)
Inequivalent atoms, fractional coordinates:
Na  0.000  0.166  0.250
Sc  0.000  0.500  0.000
Pb  0.000  0.167  0.750

---

Energies relative to the minimum, eV/atom: P 0.000; Q 0.086; R 0.073; S 0.049

---

P.
Na3ScPb | GGA-PBE | relaxed

Computed properties:
crystal system	cubic

Cell: 5.778 5.778 5.778 Å, 90.00 90.00 90.00°
Space group Pm-3m (No. 221)
Inequivalent atoms, fractional coordinates:
Na  0.000  0.000  0.500
Sc  0.500  0.500  0.500
Pb  0.000  0.000  0.000

---

Q.
Na3ScPb | GGA-PBE | relaxed

Computed properties:
crystal system	cubic

Cell: 5.854 5.854 5.854 Å, 90.00 90.00 90.00°
Space group Pm-3m (No. 221)
Inequivalent atoms, fractional coordinates:
Na  0.000  0.000  0.500
Sc  0.000  0.000  0.000
Pb  0.500  0.500  0.500

---

Energies relative to the minimum, eV/atom: P 0.000; Q 0.314